No. 1
Density functional theory data (PBE) for a relaxed Nb3Re2W4 crystal.

The space group is P-3m1 (No. 164) and the conventional cell measures 4.5287, 4.5287 and 8.3136 Å, with angles of 90.00, 90.00 and 120.00 degrees. The distinct sites, in fractional coordinates, are Nb at (0.0000, 0.0000, 0.0000), Nb at (0.3333, 0.6667, 0.4444), Re at (0.3333, 0.6667, 0.7816), W at (0.0000, 0.0000, 0.3314) and W at (0.3333, 0.6667, 0.1099).

The crystal system is trigonal. The energy relative to the elements comes out at -10.8 kJ per mole of atoms.

---

No. 2
Density functional theory data (PBE) for a relaxed Ho2CdHg3 crystal.

The space group is Fmmm (No. 69) and the conventional cell measures 6.859, 9.870 and 17.082 Å, with angles of 90.00, 90.00 and 90.00 degrees. The distinct sites, in fractional coordinates, are Ho at (0.248, 0.000, 0.000), Ho at (0.250, 0.250, 0.250), Cd at (0.000, 0.000, 0.333), Hg at (0.000, 0.000, 0.168) and Hg at (0.000, 0.247, 0.416).

The calculation puts the energy relative to the lowest polymorph listed for this composition at 0.18 eV per formula unit. The crystal system is orthorhombic. The energy relative to the elements comes out at -35.6 kJ per mole of atoms.

---

No. 3
Density functional theory data (PBE) for a relaxed YSiI2O crystal.

The space group is P4/mmm (No. 123) and the conventional cell measures 6.176, 6.176 and 4.156 Å, with angles of 90.00, 90.00 and 90.00 degrees. The distinct sites, in fractional coordinates, are Y at (0.000, 0.000, 0.000), Si at (0.500, 0.500, 0.500), I at (0.000, 0.500, 0.000) and O at (0.000, 0.000, 0.500).

The calculation puts the energy relative to the lowest polymorph listed for this composition at 0.00 eV per formula unit. The crystal system is tetragonal. The calculation puts the uncorrected formation energy at -0.722 eV per atom.

---

No. 4
Density functional theory data (PBE) for a relaxed Ba3Zn4Ir2 crystal.

The space group is C2/m (No. 12) and the conventional cell measures 11.894, 4.494 and 9.610 Å, with angles of 90.00, 110.99 and 90.00 degrees. The distinct sites, in fractional coordinates, are Ba at (0.000, 0.000, 0.000), Ba at (0.113, 0.500, 0.687), Zn at (0.161, 0.000, 0.426), Zn at (0.224, 0.500, 0.070) and Ir at (0.173, 0.500, 0.302).

The crystal system is monoclinic. The energy relative to the elements comes out at -18.3 kJ per mole of atoms.

---

No. 5
Density functional theory data (PBE) for a relaxed ZrNb3Pb crystal.

The space group is Pm-3m (No. 221) and the conventional cell measures 4.974, 4.974 and 4.974 Å, with angles of 90.00, 90.00 and 90.00 degrees. The distinct sites, in fractional coordinates, are Zr at (0.000, 0.000, 0.000), Nb at (0.000, 0.000, 0.500) and Pb at (0.500, 0.500, 0.500).

The calculation puts the energy relative to the lowest polymorph listed for this composition at 0.00 eV per formula unit. The crystal system is cubic. The energy relative to the elements comes out at 140.4 kJ per mole of atoms.

---

No. 6
Density functional theory data (PBE) for a relaxed AcZrAlO6 crystal.

The space group is P312 (No. 149) and the conventional cell measures 5.5239, 5.5239 and 4.6404 Å, with angles of 90.00, 90.00 and 120.00 degrees. The distinct sites, in fractional coordinates, are Ac at (0.0000, 0.0000, 0.0000), Zr at (0.6667, 0.3333, 0.5000), Al at (0.3333, 0.6667, 0.0000) and O at (0.0163, 0.4139, 0.2352).

The crystal system is trigonal. The calculation puts the uncorrected formation energy at -2.516 eV per atom.

---

No. 7
Density functional theory data (PBE) for a relaxed NaReNi crystal.

The space group is Pnma (No. 62) and the conventional cell measures 7.379, 3.743 and 7.241 Å, with angles of 90.00, 90.00 and 90.00 degrees. The distinct sites, in fractional coordinates, are Na at (0.019, 0.250, 0.136), Re at (0.103, 0.250, 0.539) and Ni at (0.220, 0.750, 0.331).

The calculation puts the energy relative to the lowest polymorph listed for this composition at 0.88 eV per formula unit. The crystal system is orthorhombic. The energy relative to the elements comes out at 52.1 kJ per mole of atoms.

---

No. 8
Density functional theory data (PBE) for a relaxed SrB4Pd3O12 crystal.

The space group is R32 (No. 155, hexagonal axes) and the conventional cell measures 9.7972, 9.7972 and 8.0712 Å, with angles of 90.00, 90.00 and 120.00 degrees. The distinct sites, in fractional coordinates, are Sr at (0.0000, 0.0000, 0.0000), B at (0.0000, 0.0000, 0.5000), B at (0.0000, 0.4435, 0.5000), Pd at (0.0000, 0.5497, 0.0000), O at (0.0000, 0.5892, 0.5000), O at (0.0000, 0.8585, 0.5000) and O at (0.0200, 0.2097, 0.1912).

The crystal system is trigonal. The calculation puts the uncorrected formation energy at -1.585 eV per atom.

---

No. 9
Density functional theory data (PBE) for a relaxed Te3AsCl crystal.

The space group is Pmn2_1 (No. 31) and the conventional cell measures 8.380, 7.619 and 5.168 Å, with angles of 90.00, 90.00 and 90.00 degrees. The distinct sites, in fractional coordinates, are Te at (0.000, 0.195, 0.000), Te at (0.233, 0.277, 0.620), As at (0.000, 0.473, 0.365) and Cl at (0.000, 0.733, 0.707).

The calculation puts the energy relative to the lowest polymorph listed for this composition at 0.00 eV per formula unit. The crystal system is orthorhombic. The calculation puts the uncorrected formation energy at -0.113 eV per atom.

---

No. 10
Density functional theory data (PBE) for a relaxed Er8RePb2 crystal.

The space group is C2/m (No. 12) and the conventional cell measures 18.032, 5.258 and 6.914 Å, with angles of 90.00, 109.96 and 90.00 degrees. The distinct sites, in fractional coordinates, are Er at (0.013, 0.000, 0.235), Er at (0.093, 0.500, 0.756), Er at (0.144, 0.500, 0.324), Er at (0.202, 0.000, 0.105), Re at (0.000, 0.500, 0.000) and Pb at (0.172, 0.000, 0.625).

The crystal system is monoclinic. The energy relative to the elements comes out at -15.7 kJ per mole of atoms.